No. 1
VASP calculation (PBE) on a relaxed B7C5 crystal.

Calculated values
For the formation energy, the calculation gives 0.460 eV/atom. The relative energy among the computed polymorphs is 0.296 eV per atom.

Structure (POSCAR):
```
B7C5
1.0
5.8331 -1.2618 0.0000
5.8331 1.2618 0.0000
-0.7425 0.0000 5.4903
B C
7 5
Direct
0.0000 0.0000 0.0000 B
0.0020 0.0020 0.4794 B
0.2440 0.2440 0.9460 B
0.3019 0.3019 0.6629 B
0.6218 0.6218 0.0405 B
0.6811 0.6811 0.7543 B
0.9176 0.9176 0.7199 B
0.2530 0.2530 0.3771 C
0.3387 0.3387 0.1891 C
0.5928 0.5928 0.5113 C
0.6764 0.6764 0.3246 C
0.9144 0.9144 0.2074 C
```



No. 2
VASP calculation (PBE) on a relaxed B7C5 crystal.

Calculated values
For the formation energy, the calculation gives 0.385 eV/atom. The relative energy among the computed polymorphs is 0.221 eV per atom.

Structure (POSCAR):
```
B7C5
1.0
7.0900 -1.2774 0.0000
7.0900 1.2774 0.0000
-1.3891 0.0000 4.7376
B C
7 5
Direct
0.0000 0.0000 0.0000 B
0.1293 0.1293 0.7773 B
0.2962 0.2962 0.9181 B
0.4273 0.4273 0.7815 B
0.5033 0.5033 0.4004 B
0.6609 0.6609 0.3121 B
0.8301 0.8301 0.1816 B
0.1184 0.1184 0.0806 C
0.3146 0.3146 0.6184 C
0.6128 0.6128 0.5833 C
0.7826 0.7826 0.4401 C
0.9490 0.9490 0.2634 C
```



No. 3
VASP calculation (PBE) on a relaxed B3C crystal.

Calculated values
For the formation energy, the calculation gives 0.423 eV/atom. The relative energy among the computed polymorphs is 0.183 eV per atom.

Structure (POSCAR):
```
B3C
1.0
3.8085 0.0000 0.0000
0.0000 2.7407 0.0000
-1.5272 0.0000 8.6787
B C
9 3
Direct
0.0000 0.0000 0.0000 B
0.0105 0.5000 0.7751 B
0.1743 0.0000 0.6856 B
0.3330 0.0000 0.8851 B
0.3618 0.0000 0.1475 B
0.5119 0.5000 0.4985 B
0.7104 0.5000 0.8912 B
0.7993 0.5000 0.0822 B
0.9754 0.0000 0.4196 B
0.3485 0.0000 0.5390 C
0.5506 0.5000 0.2076 C
0.7837 0.5000 0.3728 C
```



No. 4
VASP calculation (PBE) on a relaxed B7C5 crystal.

Calculated values
For the formation energy, the calculation gives 0.391 eV/atom. The relative energy among the computed polymorphs is 0.226 eV per atom.

Structure (POSCAR):
```
B7C5
1.0
2.6425 0.0000 0.0000
-1.3212 2.2885 0.0000
0.0000 0.0000 15.2628
B C
7 5
Direct
0.0000 0.0000 0.0000 B
0.0000 0.0000 0.1097 B
0.3333 0.6667 0.1790 B
0.3333 0.6667 0.5813 B
0.3333 0.6667 0.8207 B
0.6667 0.3333 0.4213 B
0.6667 0.3333 0.9318 B
0.0000 0.0000 0.4668 C
0.0000 0.0000 0.5682 C
0.3333 0.6667 0.2818 C
0.6667 0.3333 0.3164 C
0.6667 0.3333 0.8284 C
```



No. 5
VASP calculation (PBE) on a relaxed B7C5 crystal.

Calculated values
For the formation energy, the calculation gives 0.459 eV/atom. The relative energy among the computed polymorphs is 0.294 eV per atom.

Structure (POSCAR):
```
B7C5
1.0
4.4193 -1.3317 0.0000
4.4193 1.3317 0.0000
-3.5905 0.0000 7.0203
B C
7 5
Direct
0.0000 0.0000 0.0000 B
0.0419 0.0419 0.5615 B
0.1972 0.1972 0.4665 B
0.4670 0.4670 0.6390 B
0.5101 0.5101 0.1760 B
0.6710 0.6710 0.8706 B
0.8436 0.8436 0.3162 B
0.1773 0.1773 0.0000 C
0.3088 0.3088 0.7011 C
0.3340 0.3340 0.1810 C
0.6799 0.6799 0.3550 C
0.8265 0.8265 0.8145 C
```



No. 6
VASP calculation (PBE) on a relaxed B3C2 crystal.

Calculated values
For the formation energy, the calculation gives 0.399 eV/atom. The relative energy among the computed polymorphs is 0.188 eV per atom.

Structure (POSCAR):
```
B3C2
1.0
4.5225 -1.3559 0.0000
4.5225 1.3559 0.0000
-3.1966 0.0000 5.8819
B C
6 4
Direct
0.0000 0.0000 0.0000 B
0.0028 0.0028 0.7231 B
0.3644 0.3644 0.5265 B
0.5758 0.5758 0.3440 B
0.7804 0.7804 0.8360 B
0.7905 0.7905 0.2138 B
0.1813 0.1813 0.5053 C
0.1825 0.1825 0.7333 C
0.3853 0.3853 0.3043 C
0.5904 0.5904 0.0965 C
```



No. 7
VASP calculation (PBE) on a relaxed BC crystal.

Calculated values
For the formation energy, the calculation gives 0.388 eV/atom. The relative energy among the computed polymorphs is 0.237 eV per atom.

Structure (POSCAR):
```
BC
1.0
5.5710 -1.3048 0.0000
5.5710 1.3048 0.0000
-0.9996 0.0000 5.5854
B C
6 6
Direct
0.0000 0.0000 0.0000 B
0.0042 0.0042 0.5011 B
0.3333 0.3333 0.7016 B
0.3809 0.3809 0.4169 B
0.6451 0.6451 0.8489 B
0.7731 0.7731 0.5233 B
0.0772 0.0772 0.7651 C
0.0813 0.0813 0.2773 C
0.3186 0.3186 0.1360 C
0.4057 0.4057 0.9613 C
0.6613 0.6613 0.3015 C
0.7376 0.7376 0.0954 C
```



No. 8
VASP calculation (PBE) on a relaxed B7C5 crystal.

Calculated values
For the formation energy, the calculation gives 0.476 eV/atom. The relative energy among the computed polymorphs is 0.311 eV per atom.

Structure (POSCAR):
```
B7C5
1.0
6.4753 -1.2830 0.0000
6.4753 1.2830 0.0000
-1.1156 0.0000 4.9619
B C
7 5
Direct
0.0000 0.0000 0.0000 B
0.0018 0.0018 0.5545 B
0.0921 0.0921 0.3356 B
0.3584 0.3584 0.7122 B
0.6845 0.6845 0.3541 B
0.7563 0.7563 0.7033 B
0.7773 0.7773 0.1444 B
0.0997 0.0997 0.8420 C
0.3600 0.3600 0.2051 C
0.4235 0.4235 0.4883 C
0.4312 0.4312 0.0090 C
0.6657 0.6657 0.8760 C
```



No. 9
VASP calculation (PBE) on a relaxed B3C2 crystal.

Calculated values
For the formation energy, the calculation gives 0.395 eV/atom. The relative energy among the computed polymorphs is 0.184 eV per atom.

Structure (POSCAR):
```
B3C2
1.0
6.3518 -1.2593 0.0000
6.3518 1.2593 0.0000
-1.4377 0.0000 4.2428
B C
6 4
Direct
0.0355 0.0355 0.3636 B
0.1506 0.1506 0.7626 B
0.3447 0.3447 0.9413 B
0.6553 0.6553 0.0587 B
0.8494 0.8494 0.2374 B
0.9645 0.9645 0.6364 B
0.2430 0.2430 0.5843 C
0.4555 0.4555 0.8426 C
0.5445 0.5445 0.1574 C
0.7570 0.7570 0.4157 C
```



No. 10
VASP calculation (PBE) on a relaxed BC crystal.

Calculated values
For the formation energy, the calculation gives 0.370 eV/atom. The relative energy among the computed polymorphs is 0.219 eV per atom.

Structure (POSCAR):
```
BC
1.0
4.3567 -1.8184 0.0000
4.3567 1.8184 0.0000
-1.8342 0.0000 5.1948
B C
6 6
Direct
0.0175 0.0175 0.2585 B
0.2791 0.3845 0.4499 B
0.5407 0.0852 0.1289 B
0.6155 0.7209 0.5501 B
0.9148 0.4593 0.8711 B
0.9825 0.9825 0.7415 B
0.2250 0.7750 0.5000 C
0.2381 0.7619 0.0000 C
0.3233 0.3645 0.9115 C
0.5617 0.1069 0.6822 C
0.6355 0.6767 0.0885 C
0.8931 0.4383 0.3178 C
```



No. 11
VASP calculation (PBE) on a relaxed B3C7 crystal.

Calculated values
For the formation energy, the calculation gives 0.355 eV/atom. The relative energy among the computed polymorphs is 0.092 eV per atom.

Structure (POSCAR):
```
B3C7
1.0
3.8645 -1.9593 0.0000
3.8645 1.9593 0.0000
-3.6721 0.0000 4.1079
B C
3 7
Direct
0.0000 0.0000 0.0000 B
0.2528 0.5634 0.0932 B
0.4366 0.7472 0.9068 B
0.0143 0.4204 0.3162 C
0.2405 0.1288 0.7902 C
0.4647 0.3163 0.5884 C
0.5796 0.9857 0.6838 C
0.6837 0.5353 0.4116 C
0.8066 0.1934 0.5000 C
0.8712 0.7595 0.2098 C
```



No. 12
VASP calculation (PBE) on a relaxed BC crystal.

Calculated values
For the formation energy, the calculation gives 0.403 eV/atom. The relative energy among the computed polymorphs is 0.253 eV per atom.

Structure (POSCAR):
```
BC
1.0
6.9367 -1.2777 0.0000
6.9367 1.2777 0.0000
-0.9095 0.0000 4.6734
B C
6 6
Direct
0.0000 0.0000 0.0000 B
0.1742 0.1742 0.9494 B
0.5026 0.5026 0.5758 B
0.6388 0.6388 0.6879 B
0.8073 0.8073 0.5796 B
0.9365 0.9365 0.3748 B
0.1065 0.1065 0.1987 C
0.2917 0.2917 0.0654 C
0.3361 0.3361 0.7853 C
0.4494 0.4494 0.8630 C
0.6230 0.6230 0.3690 C
0.8252 0.8252 0.2451 C
```